# SrAl2Te PBE-GGA optimized geometry
data_SrAl2Te
_cell_length_a 5.280
_cell_length_b 5.280
_cell_length_c 5.844
_cell_angle_alpha 105.67
_cell_angle_beta 105.67
_cell_angle_gamma 45.02
_symmetry_space_group_name_H-M 'P 1'
_symmetry_Int_Tables_number 1
_symmetry_space_group_name_Hall 'P 1'
loop_
_atom_site_label
_atom_site_type_symbol
_atom_site_fract_x
_atom_site_fract_y
_atom_site_fract_z
Sr1 Sr 0.000 0.000 0.000
Al1 Al 0.481 0.481 0.447
Al2 Al 0.764 0.764 0.334
Te1 Te 0.232 0.232 0.671
# volume	27.55	A^3/atom
# formation energy from raw total energies	-0.29	eV/atom